(1)
! PBE ZrVSb2Te, optimized geometry; values from VASP
&SYSTEM
  ibrav = 0, nat = 5, ntyp = 4
/
ATOMIC_SPECIES
Zr 91.22 Zr.upf
V 50.94 V.upf
Sb 121.76 Sb.upf
Te 127.60 Te.upf
CELL_PARAMETERS angstrom
5.0693 0.0000 0.0000
0.0000 5.0693 0.0000
0.0000 0.0000 5.3044
ATOMIC_POSITIONS crystal
Zr 0.0000 0.0000 0.0000
V 0.5000 0.5000 0.5000
Sb 0.0000 0.5000 0.5000
Sb 0.5000 0.0000 0.5000
Te 0.5000 0.5000 0.0000
! - total moment (μB per formula unit) = 2.39
! - raw total energy (eV per atom) = -5.323
! - symmetry = P4/mmm, No. 123
! - energy above the lowest structure with this stoichiometry (meV per atom) = 0

(2)
! PBE K2Hg2F, optimized geometry; values from VASP
&SYSTEM
  ibrav = 0, nat = 10, ntyp = 3
/
ATOMIC_SPECIES
K 39.10 K.upf
Hg 200.59 Hg.upf
F 19.00 F.upf
CELL_PARAMETERS angstrom
7.2325 0.0000 0.0000
0.0000 7.2325 0.0000
0.0000 0.0000 6.6096
ATOMIC_POSITIONS crystal
K 0.2069 0.2931 0.0000
K 0.2931 0.7931 0.0000
K 0.7069 0.2069 0.0000
K 0.7931 0.7069 0.0000
Hg 0.1518 0.6518 0.5000
Hg 0.3482 0.1518 0.5000
Hg 0.6518 0.8482 0.5000
Hg 0.8482 0.3482 0.5000
F 0.0000 0.0000 0.0000
F 0.5000 0.5000 0.0000
! - total moment (μB per formula unit) = 0.00
! - raw total energy (eV per atom) = -1.974
! - symmetry = P4/mbm, No. 127
! - energy above the lowest structure with this stoichiometry (meV per atom) = 0

- Which of these has the highest total moment?
  ZrVSb2Te

- What is the total moment in the second record?
  0.00 μB per formula unit

- What is the total moment in the first record?
  2.39 μB per formula unit

- What is the formula in the first record?
  ZrVSb2Te